(1)
{"formula": "PuPdS2", "functional": "PBE-GGA", "state": "relaxed", "lattice_angstrom": [[5.274, 0.000, 0.001], [0.000, 4.040, 0.531], [-0.003, 0.951, 7.744]], "species": ["S", "Pu", "S", "Pu", "S", "S", "Pd", "Pd"], "frac_coords": [[0.701, 0.912, 0.232], [0.201, 0.661, 0.761], [0.701, 0.683, 0.711], [0.701, 0.305, 0.455], [0.201, 0.055, 0.984], [0.201, 0.283, 0.505], [0.201, 0.873, 0.314], [0.701, 0.094, 0.902]], "e_above_lowest_polymorph_ev_per_atom": 0.017, "raw_formation_energy_kj_per_mol_atoms": -108, "final_energy_ev_per_atom": -8.07}

=====

(2)
{"formula": "Pu2PdS4", "functional": "PBE-GGA", "state": "relaxed", "lattice_angstrom": [[4.032, 0.000, 0.000], [0.000, 6.845, 0.000], [0.000, 0.000, 10.589]], "species": ["Pu", "S", "S", "S", "S", "Pd", "Pu", "S", "Pu", "Pu", "S", "Pd", "S", "S"], "frac_coords": [[0.500, 0.378, 0.678], [0.000, 0.395, 0.214], [0.500, 0.249, 0.939], [0.500, 0.749, 0.561], [0.000, 0.605, 0.786], [0.000, 0.500, 0.000], [0.500, 0.122, 0.178], [0.500, 0.751, 0.061], [0.500, 0.622, 0.322], [0.500, 0.878, 0.822], [0.500, 0.251, 0.439], [0.000, 0.000, 0.500], [0.000, 0.105, 0.714], [0.000, 0.895, 0.286]], "raw_formation_energy_kj_per_mol_atoms": -115, "final_energy_ev_per_atom": -8.38}

=====

(3)
{"formula": "PuPdS2", "functional": "PBE-GGA", "state": "relaxed", "lattice_angstrom": [[3.873, 0.000, 0.000], [1.937, 3.354, 0.000], [1.937, 1.118, 6.028]], "species": ["Pd", "Pu", "S", "S"], "frac_coords": [[0.683, 0.683, 0.952], [0.494, 0.494, 0.518], [0.251, 0.251, 0.248], [0.073, 0.073, 0.782]], "e_above_lowest_polymorph_ev_per_atom": 0.210, "raw_formation_energy_kj_per_mol_atoms": -90, "final_energy_ev_per_atom": -7.88}

=====

(4)
{"formula": "PuPdS2", "functional": "PBE-GGA", "state": "relaxed", "lattice_angstrom": [[4.055, 0.000, 0.000], [2.027, 3.512, 0.000], [2.027, 1.171, 5.342]], "species": ["S", "S", "Pd", "Pu"], "frac_coords": [[0.252, 0.252, 0.245], [0.748, 0.748, 0.755], [0.000, 0.000, 0.000], [0.500, 0.500, 0.500]], "e_above_lowest_polymorph_ev_per_atom": 0.099, "raw_formation_energy_kj_per_mol_atoms": -101, "final_energy_ev_per_atom": -7.99}

=====

(5)
{"formula": "PuPd3S3", "functional": "PBE-GGA", "state": "relaxed", "lattice_angstrom": [[6.794, 0.000, 0.000], [3.397, 5.883, 0.000], [3.397, 1.961, 6.674]], "species": ["S", "Pu", "Pd", "S", "Pd", "Pu", "S", "Pd", "Pd", "Pd", "Pd", "S", "S", "S"], "frac_coords": [[0.082, 0.701, 0.754], [0.666, 0.666, 0.002], [0.379, 0.845, 0.662], [0.463, 0.082, 0.754], [0.845, 0.113, 0.662], [0.334, 0.334, 0.998], [0.299, 0.537, 0.246], [0.887, 0.621, 0.338], [0.113, 0.379, 0.662], [0.155, 0.887, 0.338], [0.621, 0.155, 0.338], [0.918, 0.299, 0.246], [0.537, 0.918, 0.246], [0.701, 0.463, 0.754]], "raw_formation_energy_kj_per_mol_atoms": -66, "final_energy_ev_per_atom": -6.73}

=====

(6)
{"formula": "PuPd3S4", "functional": "PBE-GGA", "state": "relaxed", "lattice_angstrom": [[6.695, 0.000, 0.000], [0.000, 6.695, 0.000], [0.000, 0.000, 6.695]], "species": ["Pu", "Pd", "Pd", "Pd", "S", "S", "Pd", "S", "S", "Pd", "S", "Pu", "Pd", "S", "S", "S"], "frac_coords": [[0.500, 0.500, 0.500], [0.250, 0.000, 0.500], [0.500, 0.750, 0.000], [0.000, 0.500, 0.250], [0.250, 0.250, 0.750], [0.250, 0.250, 0.250], [0.500, 0.250, 0.000], [0.750, 0.250, 0.750], [0.750, 0.750, 0.250], [0.750, 0.000, 0.500], [0.750, 0.750, 0.750], [0.000, 0.000, 0.000], [0.000, 0.500, 0.750], [0.250, 0.750, 0.250], [0.750, 0.250, 0.250], [0.250, 0.750, 0.750]], "raw_formation_energy_kj_per_mol_atoms": -78, "final_energy_ev_per_atom": -6.61}

=====

Please write out number 5 again, unchanged.
{"formula": "PuPd3S3", "functional": "PBE-GGA", "state": "relaxed", "lattice_angstrom": [[6.794, 0.000, 0.000], [3.397, 5.883, 0.000], [3.397, 1.961, 6.674]], "species": ["S", "Pu", "Pd", "S", "Pd", "Pu", "S", "Pd", "Pd", "Pd", "Pd", "S", "S", "S"], "frac_coords": [[0.082, 0.701, 0.754], [0.666, 0.666, 0.002], [0.379, 0.845, 0.662], [0.463, 0.082, 0.754], [0.845, 0.113, 0.662], [0.334, 0.334, 0.998], [0.299, 0.537, 0.246], [0.887, 0.621, 0.338], [0.113, 0.379, 0.662], [0.155, 0.887, 0.338], [0.621, 0.155, 0.338], [0.918, 0.299, 0.246], [0.537, 0.918, 0.246], [0.701, 0.463, 0.754]], "raw_formation_energy_kj_per_mol_atoms": -66, "final_energy_ev_per_atom": -6.73}